First-principles (PBE-GGA) data for an optimized crystal structure of IrRh3W, as listed in Alexandria via LeMat-Bulk.

Unit cell a=4.619 b=4.619 c=4.619 alpha=90.00 beta=90.00 gamma=90.00
Sites, in units of the cell vectors:
Ir 0.000 0.000 0.000
Rh 0.000 0.500 0.500
Rh 0.500 0.000 0.500
Rh 0.500 0.500 0.000
W 0.500 0.500 0.500

The density of states at the Fermi level is 1.1922 states/eV per atom. For the total energy, the calculation gives -0.2631 hartree per atom. The value obtained for the formation energy from the elements is 1615 meV per atom. For the relative energy among the computed polymorphs, the calculation gives 44.0 kJ/mol of atoms. The space group is Pm-3m, No. 221.

=====

First-principles (PBE-GGA) data for an optimized crystal structure of CoP2I, as listed in Alexandria via LeMat-Bulk.

Unit cell a=6.594 b=6.594 c=6.594 alpha=125.81 beta=125.81 gamma=80.20
Sites, in units of the cell vectors:
Co 0.000 0.000 0.000
Co 0.750 0.250 0.500
P 0.375 0.241 0.366
P 0.759 0.125 0.134
P 0.875 0.009 0.634
P 0.991 0.625 0.866
I 0.250 0.750 0.500
I 0.500 0.500 0.000

The density of states at the Fermi level is 0.0857 states/eV per atom. As for the formation energy without anion corrections: 0.1879 eV per atom. For the total energy, the calculation gives -0.1720 hartree per atom. For the relative energy among the computed polymorphs, the calculation gives 0.0 kJ/mol of atoms. The space group is I-42d, No. 122.